(1)
First-principles (GGA-PBE) data for crystalline RePb2Br8 at its relaxed geometry, as listed in the Alexandria database.

Summary:
* total energy: -0.264 Ry/atom

Cell lengths 6.942, 7.523, 8.263 Å; angles 88.97, 114.84, 90.00 degrees
Site moments in Bohr magnetons follow the coordinates.
Fractional positions:
Re1 0.000 0.000 0.000  2.17
Pb1 0.136 0.465 0.273  0.02
Pb2 0.864 0.535 0.727  0.02
Br1 0.723 0.239 0.944  0.05
Br2 0.221 0.239 0.944  0.05
Br3 0.277 0.761 0.056  0.05
Br4 0.687 0.422 0.373  0.01
Br5 0.779 0.761 0.056  0.05
Br6 0.166 0.067 0.331  0.05
Br7 0.834 0.933 0.669  0.05
Br8 0.313 0.578 0.627  0.01

(2)
First-principles (GGA-PBE) data for crystalline RePbBr2 at its relaxed geometry, as listed in the Alexandria database.

Summary:
* ΔE to the lowest computed polymorph: 35 meV per atom

Cell lengths 3.349, 4.632, 7.837 Å; angles 69.12, 90.00, 90.00 degrees
Fractional positions:
Pb1 0.000 0.530 0.607
Re1 0.500 0.010 0.655
Br1 0.000 0.835 0.923
Br2 0.500 0.125 0.315

(3)
First-principles (GGA-PBE) data for crystalline Re4PbBr at its relaxed geometry, as listed in the Alexandria database.

Summary:
* total energy: -0.580 Ry/atom

Cell lengths 5.399, 5.399, 5.399 Å; angles 60.00, 60.00, 60.00 degrees
Fractional positions:
Re1 0.872 0.376 0.376
Re2 0.376 0.376 0.872
Re3 0.376 0.872 0.376
Re4 0.376 0.376 0.376
Pb1 0.000 0.000 0.000
Br1 0.750 0.750 0.750

(4)
First-principles (GGA-PBE) data for crystalline RePbBr2 at its relaxed geometry, as listed in the Alexandria database.

Summary:
* ΔE to the lowest computed polymorph: 789 meV per atom

Cell lengths 5.588, 5.588, 3.381 Å; angles 90.00, 90.00, 105.07 degrees
Site moments in Bohr magnetons follow the coordinates.
Fractional positions:
Pb1 0.500 0.000 0.500  -0.06
Re1 0.000 0.500 0.500  3.11
Br1 0.000 0.000 0.000  0.04
Br2 0.500 0.500 0.000  0.04

(5)
First-principles (GGA-PBE) data for crystalline Re2Pb2Br at its relaxed geometry, as listed in the Alexandria database.

Summary:
* ΔE to the lowest computed polymorph: 0 meV per atom

Cell lengths 3.605, 3.605, 9.933 Å; angles 79.55, 79.55, 90.00 degrees
Fractional positions:
Pb1 0.382 0.382 0.236
Pb2 0.618 0.618 0.764
Re1 0.750 0.250 0.500
Re2 0.250 0.750 0.500
Br1 0.000 0.000 0.000

(6)
First-principles (GGA-PBE) data for crystalline RePb4Br at its relaxed geometry, as listed in the Alexandria database.

Summary:
* total energy: -0.283 Ry/atom

Cell lengths 6.377, 6.377, 6.377 Å; angles 60.00, 60.00, 60.00 degrees
Site moments in Bohr magnetons follow the coordinates.
Fractional positions:
Re1 0.750 0.750 0.750  3.34
Pb1 0.873 0.376 0.376  -0.04
Pb2 0.376 0.376 0.873  -0.04
Pb3 0.376 0.873 0.376  -0.04
Pb4 0.376 0.376 0.376  -0.04
Br1 0.000 0.000 0.000  0.03